1.
La2NiIrO6 (SCAN, PBEsol geometry); total magnetization = 1.93 μB/cell; raw formation energy = -237.9 kJ per mole of atoms; energy = -23.55 eV/atom
1.0
5.4514 0.0000 0.0000
0.0000 5.7158 0.0000
-5.4380 0.0000 7.7509
La Ni Ir O
4 2 2 12
Direct
0.2338 0.0618 0.2496
0.2338 0.4382 0.7496
0.7662 0.5618 0.2504
0.7662 0.9382 0.7504
0.0000 0.0000 0.5000
0.0000 0.5000 0.0000
0.5000 0.0000 0.0000
0.5000 0.5000 0.5000
0.1511 0.2013 0.9537
0.1511 0.2987 0.4537
0.2592 0.7037 0.9531
0.2592 0.7963 0.4531
0.3385 0.0218 0.7481
0.3385 0.4782 0.2481
0.6615 0.5218 0.7519
0.6615 0.9782 0.2519
0.7408 0.2037 0.5469
0.7408 0.2963 0.0469
0.8489 0.7013 0.5463
0.8489 0.7987 0.0463

---

2.
LaCdPt (SCAN, PBEsol geometry); total magnetization = 0.00 μB/cell; formation enthalpy at 0 K = -0.90 eV per atom; energy = -48.81 eV/atom
1.0
0.0000 3.3899 3.3899
3.3899 0.0000 3.3899
3.3899 3.3899 0.0000
La Cd Pt
1 1 1
Direct
0.0000 0.0000 0.0000
0.5000 0.5000 0.5000
0.7500 0.7500 0.7500

---

3.
Y2PtBr (SCAN, PBEsol geometry); total magnetization = 0.10 μB/cell; raw formation energy = -145.1 kJ per mole of atoms; energy = -37.84 eV/atom
1.0
2.0018 1.1557 7.3589
-2.0018 1.1557 7.3589
0.0000 -2.3115 7.3589
Y Pt Br
2 1 1
Direct
0.2349 0.2349 0.2349
0.7651 0.7651 0.7651
0.5000 0.5000 0.5000
0.0000 0.0000 0.0000

---

4.
Li2CuNi (SCAN, PBEsol geometry); total magnetization = 0.00 μB/cell; formation enthalpy at 0 K = 0.02 eV per atom; energy = -9.02 eV/atom
1.0
2.7179 0.0000 0.0000
0.0000 4.0754 0.0000
0.0000 0.0000 4.1334
Li Cu Ni
2 1 1
Direct
0.0000 0.0000 0.0000
0.5000 0.5000 0.0000
0.0000 0.5000 0.5000
0.5000 0.0000 0.5000

---

5.
CuRuSe (SCAN, PBEsol geometry); total magnetization = 0.00 μB/cell; raw formation energy = 30.5 kJ per mole of atoms; energy = -23.05 eV/atom
1.0
0.0000 2.8782 2.8782
2.8782 0.0000 2.8782
2.8782 2.8782 0.0000
Cu Ru Se
1 1 1
Direct
0.0000 0.0000 0.0000
0.7500 0.7500 0.7500
0.5000 0.5000 0.5000

---

6.
LiInTe (SCAN, PBEsol geometry); total magnetization = 0.00 μB/cell; raw formation energy = -17.5 kJ per mole of atoms; energy = -24.52 eV/atom
1.0
0.0000 3.5887 3.5887
3.5887 0.0000 3.5887
3.5887 3.5887 0.0000
Li In Te
1 1 1
Direct
0.0000 0.0000 0.0000
0.7500 0.7500 0.7500
0.5000 0.5000 0.5000